The following is a DFT calculation (PBE) of an optimized crystal structure of TaCdIr2.

Geometry as CIF:
```
data_TaCdIr2
_chemical_formula_sum 'Ta3 Cd3 Ir6'
_cell_length_a 2.9255
_cell_length_b 2.9255
_cell_length_c 27.3832
_cell_angle_alpha 90.00
_cell_angle_beta 90.00
_cell_angle_gamma 120.00
_symmetry_space_group_name_H-M 'R -3 m'
_symmetry_Int_Tables_number 166
_symmetry_space_group_name_Hall '-R 3 2"'
loop_
_atom_site_label
_atom_site_type_symbol
_atom_site_fract_x
_atom_site_fract_y
_atom_site_fract_z
_atom_site_occupancy
Ta1 Ta 0.0000 0.0000 0.0000 1
Cd1 Cd 0.0000 0.0000 0.5000 1
Ir1 Ir 0.0000 0.0000 0.2561 1
```

Output
E_form, meV per atom: -155
Calculated total energy, Ry/atom: -0.5716
Calculated volume, Å³/cell: 203

The following is a DFT calculation (PBE) of an optimized crystal structure of TaCdIr2.

Geometry as CIF:
```
data_TaCdIr2
_chemical_formula_sum 'Ta2 Cd2 Ir4'
_cell_length_a 2.891
_cell_length_b 4.822
_cell_length_c 9.692
_cell_angle_alpha 90.00
_cell_angle_beta 90.00
_cell_angle_gamma 90.00
_symmetry_space_group_name_H-M 'C m m 2'
_symmetry_Int_Tables_number 35
loop_
_symmetry_equiv_pos_as_xyz
'x,y,z'
'-x,-y,z'
'-x,y,z'
'x,-y,z'
'x+1/2,y+1/2,z'
'-x+1/2,-y+1/2,z'
'-x+1/2,y+1/2,z'
'x+1/2,-y+1/2,z'
loop_
_atom_site_label
_atom_site_type_symbol
_atom_site_fract_x
_atom_site_fract_y
_atom_site_fract_z
_atom_site_occupancy
Ta1 Ta 0.000 0.000 0.000 1
Cd1 Cd 0.000 0.500 0.724 1
Ir1 Ir 0.000 0.000 0.475 1
Ir2 Ir 0.000 0.500 0.234 1
```

Output
E_form, meV per atom: 222
Calculated total energy, Ry/atom: -0.5439
Calculated volume, Å³/cell: 135

The following is a DFT calculation (PBE) of an optimized crystal structure of TaCd3Ir.

Geometry as CIF:
```
data_TaCd3Ir
_chemical_formula_sum 'Ta1 Cd3 Ir1'
_cell_length_a 5.030
_cell_length_b 5.030
_cell_length_c 5.030
_cell_angle_alpha 90.00
_cell_angle_beta 90.00
_cell_angle_gamma 90.00
_symmetry_space_group_name_H-M 'P m -3 m'
_symmetry_Int_Tables_number 221
_symmetry_space_group_name_Hall '-P 4 2 3'
loop_
_atom_site_label
_atom_site_type_symbol
_atom_site_fract_x
_atom_site_fract_y
_atom_site_fract_z
_atom_site_occupancy
Ta1 Ta 0.000 0.000 0.000 1
Cd1 Cd 0.000 0.500 0.500 1
Ir1 Ir 0.500 0.500 0.500 1
```

Output
E_form, meV per atom: 1359
ΔE to the lowest computed polymorph, meV per atom: 0
Calculated total energy, Ry/atom: -0.2450
Calculated volume, Å³/cell: 127

The following is a DFT calculation (PBE) of an optimized crystal structure of TaCd2Ir.

Geometry as CIF:
```
data_TaCd2Ir
_chemical_formula_sum 'Ta2 Cd4 Ir2'
_cell_length_a 10.193
_cell_length_b 3.014
_cell_length_c 4.811
_cell_angle_alpha 90.00
_cell_angle_beta 102.11
_cell_angle_gamma 90.00
_symmetry_space_group_name_H-M 'C 1 2/m 1'
_symmetry_Int_Tables_number 12
loop_
_symmetry_equiv_pos_as_xyz
'x,y,z'
'-x,-y,-z'
'-x,y,-z'
'x,-y,z'
'x+1/2,y+1/2,z'
'-x+1/2,-y+1/2,-z'
'-x+1/2,y+1/2,-z'
'x+1/2,-y+1/2,z'
loop_
_atom_site_label
_atom_site_type_symbol
_atom_site_fract_x
_atom_site_fract_y
_atom_site_fract_z
_atom_site_occupancy
Ta1 Ta 0.000 0.000 0.000 1
Cd1 Cd 0.243 0.000 0.745 1
Ir1 Ir 0.000 0.500 0.500 1
```

Output
E_form, meV per atom: 163
ΔE to the lowest computed polymorph, meV per atom: 262
Calculated total energy, Ry/atom: -0.4022
Calculated volume, Å³/cell: 145

The following is a DFT calculation (PBE) of an optimized crystal structure of TaCd2Ir.

Geometry as CIF:
```
data_TaCd2Ir
_chemical_formula_sum 'Ta2 Cd4 Ir2'
_cell_length_a 3.935
_cell_length_b 3.935
_cell_length_c 9.445
_cell_angle_alpha 90.00
_cell_angle_beta 90.00
_cell_angle_gamma 90.00
_symmetry_space_group_name_H-M 'I 4/m m m'
_symmetry_Int_Tables_number 139
_symmetry_space_group_name_Hall '-I 4 2'
loop_
_atom_site_label
_atom_site_type_symbol
_atom_site_fract_x
_atom_site_fract_y
_atom_site_fract_z
_atom_site_occupancy
Ta1 Ta 0.000 0.000 0.000 1
Cd1 Cd 0.000 0.500 0.250 1
Ir1 Ir 0.000 0.000 0.500 1
```

Output
E_form, meV per atom: 260
ΔE to the lowest computed polymorph, meV per atom: 359
Calculated total energy, Ry/atom: -0.3951
Calculated volume, Å³/cell: 146

The following is a DFT calculation (PBE) of an optimized crystal structure of TaCd2Ir.

Geometry as CIF:
```
data_TaCd2Ir
_chemical_formula_sum 'Ta2 Cd4 Ir2'
_cell_length_a 9.305
_cell_length_b 2.907
_cell_length_c 5.473
_cell_angle_alpha 90.00
_cell_angle_beta 97.93
_cell_angle_gamma 90.00
_symmetry_space_group_name_H-M 'C 1 m 1'
_symmetry_Int_Tables_number 8
loop_
_symmetry_equiv_pos_as_xyz
'x,y,z'
'x,-y,z'
'x+1/2,y+1/2,z'
'x+1/2,-y+1/2,z'
loop_
_atom_site_label
_atom_site_type_symbol
_atom_site_fract_x
_atom_site_fract_y
_atom_site_fract_z
_atom_site_occupancy
Ta1 Ta 0.000 0.000 0.000 1
Cd1 Cd 0.244 0.000 0.703 1
Cd2 Cd 0.488 0.000 0.473 1
Ir1 Ir 0.245 0.500 0.173 1
```

Output
E_form, meV per atom: 105
ΔE to the lowest computed polymorph, meV per atom: 204
Calculated total energy, Ry/atom: -0.4065
Calculated volume, Å³/cell: 147

The following is a DFT calculation (PBE) of an optimized crystal structure of TaCdIr2.

Geometry as CIF:
```
data_TaCdIr2
_chemical_formula_sum 'Ta1 Cd1 Ir2'
_cell_length_a 3.302
_cell_length_b 3.302
_cell_length_c 6.187
_cell_angle_alpha 90.00
_cell_angle_beta 90.00
_cell_angle_gamma 90.00
_symmetry_space_group_name_H-M 'P 4/m m m'
_symmetry_Int_Tables_number 123
_symmetry_space_group_name_Hall '-P 4 2'
loop_
_atom_site_label
_atom_site_type_symbol
_atom_site_fract_x
_atom_site_fract_y
_atom_site_fract_z
_atom_site_occupancy
Ta1 Ta 0.000 0.000 0.000 1
Cd1 Cd 0.000 0.000 0.500 1
Ir1 Ir 0.500 0.500 0.231 1
```

Output
E_form, meV per atom: -272
Calculated total energy, Ry/atom: -0.5802
Calculated volume, Å³/cell: 67

The following is a DFT calculation (PBE) of an optimized crystal structure of Ta2CdIr2.

Geometry as CIF:
```
data_Ta2CdIr2
_chemical_formula_sum 'Ta4 Cd2 Ir4'
_cell_length_a 7.780
_cell_length_b 7.780
_cell_length_c 2.917
_cell_angle_alpha 90.00
_cell_angle_beta 90.00
_cell_angle_gamma 90.00
_symmetry_space_group_name_H-M 'P 4/m b m'
_symmetry_Int_Tables_number 127
_symmetry_space_group_name_Hall '-P 4 2ab'
loop_
_atom_site_label
_atom_site_type_symbol
_atom_site_fract_x
_atom_site_fract_y
_atom_site_fract_z
_atom_site_occupancy
Ta1 Ta 0.162 0.338 0.000 1
Cd1 Cd 0.000 0.000 0.500 1
Ir1 Ir 0.131 0.631 0.500 1
```

Output
E_form, meV per atom: -389
ΔE to the lowest computed polymorph, meV per atom: 0
Calculated total energy, Ry/atom: -0.6510
Calculated volume, Å³/cell: 177

The following is a DFT calculation (PBE) of an optimized crystal structure of TaCd2Ir.

Geometry as CIF:
```
data_TaCd2Ir
_chemical_formula_sum 'Ta3 Cd6 Ir3'
_cell_length_a 2.9360
_cell_length_b 2.9360
_cell_length_c 29.1297
_cell_angle_alpha 90.00
_cell_angle_beta 90.00
_cell_angle_gamma 120.00
_symmetry_space_group_name_H-M 'R -3 m'
_symmetry_Int_Tables_number 166
_symmetry_space_group_name_Hall '-R 3 2"'
loop_
_atom_site_label
_atom_site_type_symbol
_atom_site_fract_x
_atom_site_fract_y
_atom_site_fract_z
_atom_site_occupancy
Ta1 Ta 0.0000 0.0000 0.0000 1
Cd1 Cd 0.0000 0.0000 0.2452 1
Ir1 Ir 0.0000 0.0000 0.5000 1
```

Output
E_form, meV per atom: 318
ΔE to the lowest computed polymorph, meV per atom: 416
Calculated total energy, Ry/atom: -0.3909
Calculated volume, Å³/cell: 217

The following is a DFT calculation (PBE) of an optimized crystal structure of TaCd2Ir.

Geometry as CIF:
```
data_TaCd2Ir
_chemical_formula_sum 'Ta1 Cd2 Ir1'
_cell_length_a 3.085
_cell_length_b 4.683
_cell_length_c 5.024
_cell_angle_alpha 90.00
_cell_angle_beta 90.00
_cell_angle_gamma 90.00
_symmetry_space_group_name_H-M 'P m m m'
_symmetry_Int_Tables_number 47
loop_
_symmetry_equiv_pos_as_xyz
'x,y,z'
'-x,-y,-z'
'-x,-y,z'
'x,y,-z'
'x,-y,-z'
'-x,y,z'
'-x,y,-z'
'x,-y,z'
loop_
_atom_site_label
_atom_site_type_symbol
_atom_site_fract_x
_atom_site_fract_y
_atom_site_fract_z
_atom_site_occupancy
Ta1 Ta 0.000 0.000 0.000 1
Cd1 Cd 0.000 0.500 0.500 1
Cd2 Cd 0.500 0.000 0.500 1
Ir1 Ir 0.500 0.500 0.000 1
```

Output
E_form, meV per atom: 153
ΔE to the lowest computed polymorph, meV per atom: 252
Calculated total energy, Ry/atom: -0.4030
Calculated volume, Å³/cell: 73

The following is a DFT calculation (PBE) of an optimized crystal structure of TaCdIr2.

Geometry as CIF:
```
data_TaCdIr2
_chemical_formula_sum 'Ta2 Cd2 Ir4'
_cell_length_a 9.177
_cell_length_b 2.907
_cell_length_c 5.108
_cell_angle_alpha 90.00
_cell_angle_beta 101.11
_cell_angle_gamma 90.00
_symmetry_space_group_name_H-M 'C 1 2/m 1'
_symmetry_Int_Tables_number 12
loop_
_symmetry_equiv_pos_as_xyz
'x,y,z'
'-x,-y,-z'
'-x,y,-z'
'x,-y,z'
'x+1/2,y+1/2,z'
'-x+1/2,-y+1/2,-z'
'-x+1/2,y+1/2,-z'
'x+1/2,-y+1/2,z'
loop_
_atom_site_label
_atom_site_type_symbol
_atom_site_fract_x
_atom_site_fract_y
_atom_site_fract_z
_atom_site_occupancy
Ta1 Ta 0.000 0.000 0.000 1
Cd1 Cd 0.000 0.500 0.500 1
Ir1 Ir 0.242 0.500 0.229 1
```

Output
E_form, meV per atom: -31
Calculated total energy, Ry/atom: -0.5625
Calculated volume, Å³/cell: 134

The following is a DFT calculation (PBE) of an optimized crystal structure of TaCd2Ir.

Geometry as CIF:
```
data_TaCd2Ir
_chemical_formula_sum 'Ta1 Cd2 Ir1'
_cell_length_a 2.931
_cell_length_b 4.507
_cell_length_c 5.491
_cell_angle_alpha 90.00
_cell_angle_beta 90.00
_cell_angle_gamma 90.00
_symmetry_space_group_name_H-M 'P m m m'
_symmetry_Int_Tables_number 47
loop_
_symmetry_equiv_pos_as_xyz
'x,y,z'
'-x,-y,-z'
'-x,-y,z'
'x,y,-z'
'x,-y,-z'
'-x,y,z'
'-x,y,-z'
'x,-y,z'
loop_
_atom_site_label
_atom_site_type_symbol
_atom_site_fract_x
_atom_site_fract_y
_atom_site_fract_z
_atom_site_occupancy
Ta1 Ta 0.000 0.000 0.000 1
Cd1 Cd 0.500 0.500 0.255 1
Ir1 Ir 0.000 0.000 0.500 1
```

Output
E_form, meV per atom: 268
ΔE to the lowest computed polymorph, meV per atom: 366
Calculated total energy, Ry/atom: -0.3946
Calculated volume, Å³/cell: 73

The following is a DFT calculation (PBE) of an optimized crystal structure of TaCdIr2.

Geometry as CIF:
```
data_TaCdIr2
_chemical_formula_sum 'Ta4 Cd4 Ir8'
_cell_length_a 7.257
_cell_length_b 7.257
_cell_length_c 5.707
_cell_angle_alpha 90.00
_cell_angle_beta 90.00
_cell_angle_gamma 90.00
_symmetry_space_group_name_H-M 'I -4 2 d'
_symmetry_Int_Tables_number 122
_symmetry_space_group_name_Hall 'I -4 2bw'
loop_
_atom_site_label
_atom_site_type_symbol
_atom_site_fract_x
_atom_site_fract_y
_atom_site_fract_z
_atom_site_occupancy
Ta1 Ta 0.000 0.000 0.000 1
Cd1 Cd 0.000 0.000 0.500 1
Ir1 Ir 0.215 0.250 0.125 1
```

Output
E_form, meV per atom: 235
Calculated total energy, Ry/atom: -0.5430
Calculated volume, Å³/cell: 301

The following is a DFT calculation (PBE) of an optimized crystal structure of TaCdIr4.

Geometry as CIF:
```
data_TaCdIr4
_chemical_formula_sum 'Ta4 Cd4 Ir16'
_cell_length_a 7.360
_cell_length_b 7.360
_cell_length_c 7.360
_cell_angle_alpha 90.00
_cell_angle_beta 90.00
_cell_angle_gamma 90.00
_symmetry_space_group_name_H-M 'F -4 3 m'
_symmetry_Int_Tables_number 216
_symmetry_space_group_name_Hall 'F -4 2 3'
loop_
_atom_site_label
_atom_site_type_symbol
_atom_site_fract_x
_atom_site_fract_y
_atom_site_fract_z
_atom_site_occupancy
Ta1 Ta 0.000 0.000 0.000 1
Cd1 Cd 0.250 0.250 0.750 1
Ir1 Ir 0.125 0.125 0.375 1
```

Output
E_form, meV per atom: -15
Calculated total energy, Ry/atom: -0.5917
Calculated volume, Å³/cell: 399